A relaxed ErTmInB crystal. Source: OQMD, functional PBE-GGA.

Unit cell a=3.5732 b=3.5732 c=16.7955 alpha=90.00 beta=90.00 gamma=120.00
With the nearest neighbours (Å) after each atom.
Fractional positions:
B  0.0000  0.0000  0.2492  3 Tm 2.57, 3 Er 2.58
B  0.0000  0.0000  0.7508  3 Tm 2.57, 3 Er 2.58
Er  0.3333  0.6667  0.3411  3 B 2.58
Er  0.3333  0.6667  0.6589  3 B 2.58
In  0.3333  0.6667  0.0000  6 Tm 3.36, 6 In 3.57
In  0.6667  0.3333  0.5000  6 Er 3.37, 6 In 3.57
Tm  0.6667  0.3333  0.1579  3 B 2.57
Tm  0.6667  0.3333  0.8421  3 B 2.57

## Properties
Crystal system: hexagonal
Calculated volume, Å³ per cell: 185.7



A relaxed UGeW crystal. Source: OQMD, functional PBE-GGA.

Unit cell a=4.4964 b=4.4964 c=4.4964 alpha=60.00 beta=60.00 gamma=60.00
With the nearest neighbours (Å) after each atom.
Fractional positions:
Ge  0.7500  0.7500  0.7500  4 W 2.75
U  0.2500  0.2500  0.2500  4 W 2.75
W  0.0000  0.0000  0.0000  4 Ge 2.75, 4 U 2.75

## Properties
Crystal system: cubic
Calculated volume, Å³ per cell: 64.3



A relaxed Gd2ErMg3Al2In crystal. Source: OQMD, functional PBE-GGA.

Unit cell a=4.6086 b=7.3974 c=7.3974 alpha=119.63 beta=90.00 gamma=90.00
With the nearest neighbours (Å) after each atom.
Fractional positions:
Al  0.5000  0.6659  0.3354  3 Mg 2.84-2.86, 2 Er 3.16
Al  0.5000  0.3354  0.6659  3 Mg 2.84-2.86, 2 Er 3.16
Er  0.0000  0.5635  0.5635  4 Al 3.16, 1 In 3.22, 2 Mg 3.30
Gd  0.0000  0.4379  0.0008  4 Al 3.19, 1 In 3.25, 2 Mg 3.28
Gd  0.0000  0.0008  0.4379  4 Al 3.19, 1 In 3.25, 2 Mg 3.28
In  0.0000  0.9969  0.9969  6 Mg 2.93-2.96, 1 Er 3.22, 2 Gd 3.25
Mg  0.5000  0.2460  0.2460  2 Al 2.84, 2 In 2.96, 2 Mg 3.17
Mg  0.5000  0.9999  0.7538  2 Al 2.85-2.86, 2 In 2.93, 2 Mg 3.15-3.17
Mg  0.5000  0.7538  0.9999  2 Al 2.85-2.86, 2 In 2.93, 2 Mg 3.15-3.17

## Properties
Crystal system: orthorhombic
Calculated volume, Å³ per cell: 219.2



A relaxed K2Be2Cd3 crystal. Source: OQMD, functional PBE-GGA.

Unit cell a=9.7983 b=9.7983 c=9.7983 alpha=27.34 beta=27.34 gamma=27.34
With the nearest neighbours (Å) after each atom.
Fractional positions:
Be  0.0040  0.0040  0.0040  7 Cd 2.69-2.81
Be  0.5539  0.5539  0.5539  1 Cd 2.43
Cd  0.3467  0.3467  0.3467  3 Be 2.69, 3 Cd 2.91
Cd  0.6397  0.6397  0.6397  1 Be 2.43
Cd  0.9084  0.9084  0.9084  4 Be 2.70-2.74
K  0.1648  0.1648  0.1648  3 Be 3.10, 3 K 3.39, 3 Cd 3.45
K  0.7575  0.7575  0.7575  4 Cd 3.33-3.46, 3 K 3.39, 3 Be 3.63

## Properties
Crystal system: trigonal
Calculated volume, Å³ per cell: 175.1



A relaxed GdSbPb2O6 crystal. Source: OQMD, functional PBE-GGA.

Unit cell a=6.0225 b=6.0225 c=6.0225 alpha=60.00 beta=60.00 gamma=60.00
With the nearest neighbours (Å) after each atom.
Fractional positions:
Gd  0.0000  0.0000  0.0000  12 O 3.01
O  0.5000  0.0000  0.0000  2 Pb 2.13
O  0.0000  0.5000  0.0000  2 Pb 2.13
O  0.5000  0.5000  0.0000  2 Pb 2.13
O  0.5000  0.0000  0.5000  2 Pb 2.13
O  0.0000  0.5000  0.5000  2 Pb 2.13
O  0.0000  0.0000  0.5000  2 Pb 2.13
Pb  0.2500  0.2500  0.2500  6 O 2.13
Pb  0.7500  0.7500  0.7500  6 O 2.13
Sb  0.5000  0.5000  0.5000  12 O 3.01

## Properties
Crystal system: cubic
Calculated volume, Å³ per cell: 154.5



A relaxed RbLaIn4Pd2 crystal. Source: OQMD, functional PBE-GGA.

Unit cell a=8.0187 b=5.9260 c=5.9260 alpha=45.90 beta=90.00 gamma=90.00
With the nearest neighbours (Å) after each atom.
Fractional positions:
In  0.1934  0.3491  0.3491  3 Pd 2.87, 1 In 3.10
In  0.8066  0.3491  0.3491  3 Pd 2.87, 1 In 3.10
In  0.3017  0.6516  0.6516  3 Pd 2.82-2.89
In  0.6983  0.6516  0.6516  3 Pd 2.82-2.89
La  0.0000  0.0634  0.0634  3 Pd 3.05-3.34
Pd  0.5000  0.2142  0.2142  6 In 2.87-2.89, 1 Rb 3.02
Pd  0.0000  0.7839  0.7839  6 In 2.82-2.87, 1 La 3.05
Rb  0.5000  0.9372  0.9372  3 Pd 3.02-3.36

## Properties
Crystal system: orthorhombic
Calculated volume, Å³ per cell: 202.2



A relaxed NaReTe2AuSe crystal. Source: OQMD, functional PBE-GGA.

Unit cell a=7.5255 b=7.5255 c=10.3877 alpha=90.00 beta=90.00 gamma=149.52
With the nearest neighbours (Å) after each atom.
Fractional positions:
Au  0.0691  0.9309  0.2500  2 Te 2.67, 2 Se 2.72
Au  0.9309  0.0691  0.7500  2 Te 2.67, 2 Se 2.72
Na  0.7360  0.2640  0.2500  2 Au 3.13, 2 Te 3.29
Na  0.2640  0.7360  0.7500  2 Au 3.13, 2 Te 3.29
Re  0.5000  0.5000  0.0000  2 Se 2.74, 4 Te 2.77
Re  0.5000  0.5000  0.5000  2 Se 2.74, 4 Te 2.77
Se  0.4401  0.5599  0.2500  2 Au 2.72, 2 Re 2.74
Se  0.5599  0.4401  0.7500  2 Au 2.72, 2 Re 2.74
Te  0.1336  0.8664  0.0094  1 Au 2.67, 2 Re 2.77
Te  0.1336  0.8664  0.4906  1 Au 2.67, 2 Re 2.77
Te  0.8664  0.1336  0.5094  1 Au 2.67, 2 Re 2.77
Te  0.8664  0.1336  0.9906  1 Au 2.67, 2 Re 2.77

## Properties
Crystal system: orthorhombic
Calculated volume, Å³ per cell: 298.4



A relaxed Tm2ReSi2WN crystal. Source: OQMD, functional PBE-GGA.

Unit cell a=5.7749 b=5.7749 c=6.9347 alpha=123.68 beta=123.68 gamma=38.45
With the nearest neighbours (Å) after each atom.
Fractional positions:
N  0.9986  0.9986  0.9980  1 W 1.95, 1 Re 1.97
Re  0.7908  0.7908  0.9093  1 N 1.97
Si  0.8695  0.8695  0.3388  1 Si 2.43, 2 W 2.49, 1 Re 2.57
Si  0.1385  0.1385  0.6654  1 Si 2.43, 2 Re 2.44, 1 W 2.57
Tm  0.5731  0.5731  0.2989  2 N 2.58
Tm  0.4245  0.4245  0.7015  2 N 2.56
W  0.2051  0.2051  0.0881  1 N 1.95

## Properties
Crystal system: monoclinic
Calculated volume, Å³ per cell: 116.4



A relaxed LiHf2Mg crystal. Source: OQMD, functional PBE-GGA.

Unit cell a=4.9152 b=4.9152 c=4.9152 alpha=60.00 beta=60.00 gamma=60.00
With the nearest neighbours (Å) after each atom.
Fractional positions:
Hf  0.0000  0.0000  0.0000  4 Mg 3.01, 4 Hf 3.01
Hf  0.7500  0.7500  0.7500  4 Li 3.01, 4 Hf 3.01
Li  0.5000  0.5000  0.5000  4 Hf 3.01, 4 Mg 3.01
Mg  0.2500  0.2500  0.2500  4 Hf 3.01, 4 Li 3.01

## Properties
Crystal system: cubic
Calculated volume, Å³ per cell: 84.0



A relaxed PmHSe2 crystal. Source: OQMD, functional PBE-GGA.

Unit cell a=5.4576 b=5.4576 c=5.4576 alpha=136.77 beta=136.77 gamma=62.80
With the nearest neighbours (Å) after each atom.
Fractional positions:
H  0.5000  0.5000  0.0000  4 Pm 2.84, 8 Se 3.08
Pm  0.0000  0.0000  0.0000  4 H 2.84, 8 Se 3.08
Se  0.7500  0.2500  0.5000  4 Se 2.84, 4 H 3.08, 4 Pm 3.08
Se  0.2500  0.7500  0.5000  4 Se 2.84, 4 H 3.08, 4 Pm 3.08

## Properties
Crystal system: tetragonal
Calculated volume, Å³ per cell: 75.3



Taking the records one at a time from the top gives raw total energy values of -4.75 -9.05 -3.54 -1.36 -5.46 -3.83 -4.42 -8.35 -5.40 -4.47 eV/atom.